# NbSiAu2, optimized geometry, DFT PBE-GGA
# Crystal system ... cubic
data_NbSiAu2
_cell_length_a 4.5874
_cell_length_b 4.5874
_cell_length_c 4.5874
_cell_angle_alpha 60.00
_cell_angle_beta 60.00
_cell_angle_gamma 60.00
_space_group_name_H-M_alt 'P 1'
_space_group_IT_number 1
loop_
_space_group_symop_operation_xyz
'x,y,z'
loop_
_atom_site_label
_atom_site_fract_x
_atom_site_fract_y
_atom_site_fract_z
Au1 0.0000 0.0000 0.0000
Au2 0.7500 0.7500 0.7500
Nb1 0.2500 0.2500 0.2500
Si1 0.5000 0.5000 0.5000

---

# NbSiAu, optimized geometry, DFT PBE-GGA
# Crystal system ... cubic
data_NbSiAu
_cell_length_a 4.4005
_cell_length_b 4.4005
_cell_length_c 4.4005
_cell_angle_alpha 60.00
_cell_angle_beta 60.00
_cell_angle_gamma 60.00
_space_group_name_H-M_alt 'P 1'
_space_group_IT_number 1
loop_
_space_group_symop_operation_xyz
'x,y,z'
loop_
_atom_site_label
_atom_site_fract_x
_atom_site_fract_y
_atom_site_fract_z
Au1 0.2500 0.2500 0.2500
Nb1 0.0000 0.0000 0.0000
Si1 0.7500 0.7500 0.7500

---

# SmNbAu, optimized geometry, DFT PBE-GGA
# Crystal system ... cubic
data_SmNbAu
_cell_length_a 4.8134
_cell_length_b 4.8134
_cell_length_c 4.8134
_cell_angle_alpha 60.00
_cell_angle_beta 60.00
_cell_angle_gamma 60.00
_space_group_name_H-M_alt 'P 1'
_space_group_IT_number 1
loop_
_space_group_symop_operation_xyz
'x,y,z'
loop_
_atom_site_label
_atom_site_fract_x
_atom_site_fract_y
_atom_site_fract_z
Au1 0.2500 0.2500 0.2500
Nb1 0.7500 0.7500 0.7500
Sm1 0.0000 0.0000 0.0000

---

# SmNbAu, optimized geometry, DFT PBE-GGA
# Crystal system ... cubic
data_SmNbAu
_cell_length_a 4.6757
_cell_length_b 4.6757
_cell_length_c 4.6757
_cell_angle_alpha 60.00
_cell_angle_beta 60.00
_cell_angle_gamma 60.00
_space_group_name_H-M_alt 'P 1'
_space_group_IT_number 1
loop_
_space_group_symop_operation_xyz
'x,y,z'
loop_
_atom_site_label
_atom_site_fract_x
_atom_site_fract_y
_atom_site_fract_z
Au1 0.2500 0.2500 0.2500
Nb1 0.5000 0.5000 0.5000
Sm1 0.7500 0.7500 0.7500

---

# Nb3Sn5Au, optimized geometry, DFT PBE-GGA
# Crystal system ... hexagonal
data_Nb3Sn5Au
_cell_length_a 5.7756
_cell_length_b 5.7756
_cell_length_c 7.5734
_cell_angle_alpha 90.00
_cell_angle_beta 90.00
_cell_angle_gamma 120.00
_space_group_name_H-M_alt 'P 1'
_space_group_IT_number 1
loop_
_space_group_symop_operation_xyz
'x,y,z'
loop_
_atom_site_label
_atom_site_fract_x
_atom_site_fract_y
_atom_site_fract_z
Au1 0.0000 0.0000 0.0000
Nb1 0.5000 0.0000 0.5000
Nb2 0.0000 0.5000 0.5000
Nb3 0.5000 0.5000 0.5000
Sn1 0.6667 0.3333 0.1846
Sn2 0.3333 0.6667 0.1846
Sn3 0.0000 0.0000 0.5000
Sn4 0.6667 0.3333 0.8154
Sn5 0.3333 0.6667 0.8154

---

# Sr2NbAu, optimized geometry, DFT PBE-GGA
# Crystal system ... cubic
data_Sr2NbAu
_cell_length_a 5.3626
_cell_length_b 5.3626
_cell_length_c 5.3626
_cell_angle_alpha 60.00
_cell_angle_beta 60.00
_cell_angle_gamma 60.00
_space_group_name_H-M_alt 'P 1'
_space_group_IT_number 1
loop_
_space_group_symop_operation_xyz
'x,y,z'
loop_
_atom_site_label
_atom_site_fract_x
_atom_site_fract_y
_atom_site_fract_z
Au1 0.5000 0.5000 0.5000
Nb1 0.7500 0.7500 0.7500
Sr1 0.0000 0.0000 0.0000
Sr2 0.2500 0.2500 0.2500

---

| no. | total magnetic moment (μB per cell) | volume (Å³/cell) | final energy (eV for the cell shown) |
| --- | --- | --- | --- |
| 1 | 0.02 | 68 | -21.73 |
| 2 | 0.01 | 60 | -17.97 |
| 3 | 2.90 | 79 | -15.51 |
| 4 | 0.40 | 72 | -16.34 |
| 5 | 0.01 | 219 | -52.55 |
| 6 | 3.70 | 109 | -14.63 |